# Th8SiTe4Os3, relaxed, DFT PBE
# Energy relative to the elements, uncorrected: -0.836 eV per atom
data_Th8SiTe4Os3
_chemical_formula_sum 'Th24 Si3 Te12 Os9'
_symmetry_space_group_name_H-M 'R -3 m'
_symmetry_Int_Tables_number 166
_symmetry_space_group_name_Hall '-R 3 2"'
_cell_length_a 8.4987
_cell_length_b 8.4987
_cell_length_c 22.8068
_cell_angle_alpha 90.00
_cell_angle_beta 90.00
_cell_angle_gamma 120.00
loop_
_atom_site_label
_atom_site_type_symbol
_atom_site_fract_x
_atom_site_fract_y
_atom_site_fract_z
Th1 Th 0.0000 0.0000 0.2338
Th2 Th 0.0132 0.5066 0.7658
Si1 Si 0.0000 0.0000 0.5000
Te1 Te 0.0000 0.0000 0.0000
Te2 Te 0.0000 0.5000 0.0000
Os1 Os 0.0000 0.5000 0.5000